No. 1
Crystalline TaCdPdRh at its relaxed geometry, computed with PBE-GGA.

Values from the calculation:
As for the energy of formation from the pure elements: -0.23 eV per atom. Its density of states at the Fermi level is 0.887 states/eV per atom.

Cell: 4.5480 4.5480 4.5480 Å, 60.00 60.00 60.00°
Atoms (fractional coordinates):
Ta 0.0000 0.0000 0.0000
Cd 0.5000 0.5000 0.5000
Pd 0.7500 0.7500 0.7500
Rh 0.2500 0.2500 0.2500


No. 2
Crystalline Tb4CdPdRh2 at its relaxed geometry, computed with PBE-GGA.

Values from the calculation:
As for the energy of formation from the pure elements: -0.69 eV per atom. Its density of states at the Fermi level is 0.673 states/eV per atom.

Cell: 8.6560 8.6560 8.6560 Å, 33.61 33.61 33.61°
Atoms (fractional coordinates):
Tb 0.1202 0.1202 0.1202
Tb 0.3710 0.3710 0.3710
Tb 0.6290 0.6290 0.6290
Tb 0.8798 0.8798 0.8798
Cd 0.5000 0.5000 0.5000
Pd 0.0000 0.0000 0.0000
Rh 0.2486 0.2486 0.2486
Rh 0.7514 0.7514 0.7514


No. 3
Crystalline CdTcPd2Rh at its relaxed geometry, computed with PBE-GGA.

Values from the calculation:
As for the energy of formation from the pure elements: 1.08 eV per atom. Its density of states at the Fermi level is 1.241 states/eV per atom.

Cell: 4.9189 4.9189 4.5249 Å, 90.00 90.00 90.00°
Atoms (fractional coordinates):
Cd 0.0000 0.0000 0.0000
Tc 0.5000 0.5000 0.0000
Pd 0.0000 0.5000 0.5000
Pd 0.5000 0.0000 0.5000
Rh 0.5000 0.5000 0.5000


No. 4
Crystalline CdTc2PdRh at its relaxed geometry, computed with PBE-GGA.

Values from the calculation:
As for the energy of formation from the pure elements: 1.38 eV per atom. Its density of states at the Fermi level is 1.171 states/eV per atom.

Cell: 4.6403 4.6403 4.9678 Å, 90.00 90.00 90.00°
Atoms (fractional coordinates):
Cd 0.0000 0.0000 0.0000
Tc 0.0000 0.5000 0.5000
Tc 0.5000 0.0000 0.5000
Pd 0.5000 0.5000 0.0000
Rh 0.5000 0.5000 0.5000


No. 5
Crystalline CdTePdRh2 at its relaxed geometry, computed with PBE-GGA.

Values from the calculation:
The calculation puts the formation energy without anion corrections at 0.9074 eV/atom. Its density of states at the Fermi level is 1.474 states/eV per atom.

Cell: 4.8588 4.8588 4.9438 Å, 90.00 90.00 90.00°
Atoms (fractional coordinates):
Cd 0.0000 0.0000 0.0000
Te 0.5000 0.5000 0.0000
Pd 0.0000 0.0000 0.5000
Rh 0.0000 0.5000 0.5000
Rh 0.5000 0.0000 0.5000


No. 6
Crystalline CdTePdRh at its relaxed geometry, computed with PBE-GGA.

Values from the calculation:
The calculation puts the formation energy without anion corrections at -0.1232 eV/atom. Its density of states at the Fermi level is 0.490 states/eV per atom.

Cell: 4.6845 4.6845 4.6845 Å, 60.00 60.00 60.00°
Atoms (fractional coordinates):
Cd 0.0000 0.0000 0.0000
Te 0.5000 0.5000 0.5000
Pd 0.7500 0.7500 0.7500
Rh 0.2500 0.2500 0.2500